# 1
Compound: KCaZn2
Source: Alexandria via LeMat-Bulk
Functional: PBE
Structure: relaxed

Properties
As for the energy relative to the lowest polymorph listed for this composition: 0.462 eV per formula unit.

Cell lengths 5.487, 5.487, 5.487 Å; angles 60.00, 60.00, 60.00 degrees
Element x y z (fractional)
K  0.000  0.000  0.000
Ca  0.500  0.500  0.500
Zn  0.250  0.250  0.250
Zn  0.750  0.750  0.750

# 2
Compound: KCa2Zn
Source: Alexandria via LeMat-Bulk
Functional: PBE
Structure: relaxed

Properties
As for the final energy: -1.541 eV/atom.

Cell lengths 10.936, 10.936, 10.936 Å; angles 159.00, 158.80, 30.01 degrees
Element x y z (fractional)
K  0.000  0.000  0.000
Ca  0.337  0.337  0.000
Ca  0.675  0.175  0.500
Zn  0.228  0.728  0.500

# 3
Compound: KCa2Zn
Source: Alexandria via LeMat-Bulk
Functional: PBE
Structure: relaxed

Properties
As for the final energy: -1.553 eV/atom.

Cell lengths 4.103, 4.232, 9.406 Å; angles 90.00, 95.35, 90.00 degrees
Element x y z (fractional)
K  0.000  0.000  0.000
Ca  0.426  0.500  0.648
Ca  0.870  0.000  0.395
Zn  0.355  0.500  0.296

# 4
Compound: KCa2Zn
Source: Alexandria via LeMat-Bulk
Functional: PBE
Structure: relaxed

Properties
As for the final energy: -1.374 eV/atom.

Cell lengths 6.690, 6.690, 6.690 Å; angles 134.85, 134.85, 65.77 degrees
Element x y z (fractional)
K  0.000  0.000  0.000
Ca  0.500  0.500  0.000
Ca  0.750  0.250  0.500
Zn  0.250  0.750  0.500

# 5
Compound: KCa2Zn
Source: Alexandria via LeMat-Bulk
Functional: PBE
Structure: relaxed

Properties
As for the final energy: -1.386 eV/atom.

Cell lengths 5.277, 5.277, 5.322 Å; angles 90.00, 90.00, 90.00 degrees
Element x y z (fractional)
K  0.000  0.000  0.000
Ca  0.000  0.500  0.500
Ca  0.500  0.000  0.500
Zn  0.500  0.500  0.000

# 6
Compound: KCa2Zn
Source: Alexandria via LeMat-Bulk
Functional: PBE
Structure: relaxed

Properties
As for the final energy: -1.555 eV/atom.

Cell lengths 4.036, 4.036, 9.608 Å; angles 90.00, 90.00, 90.00 degrees
Element x y z (fractional)
K  0.000  0.000  0.000
Ca  0.000  0.000  0.388
Ca  0.500  0.500  0.650
Zn  0.500  0.500  0.262